# 1
Here is Al8Cr5 at its PBEsol-relaxed geometry from Alexandria. Energies are from meta-GGA SCAN.

Cell and atoms, written as POSCAR:
```
Al8Cr5
1.0
6.3127 3.6446 2.5951
-6.3127 3.6446 2.5951
0.0000 -7.2893 2.5951
Al Cr
16 10
Direct
0.0000 0.0000 0.0000
0.0316 0.4157 0.6571
0.0316 0.6571 0.4157
0.0557 0.0557 0.6956
0.0557 0.6956 0.0557
0.1283 0.3510 0.3510
0.3119 0.9572 0.9572
0.3510 0.1283 0.3510
0.3510 0.3510 0.1283
0.4157 0.0316 0.6571
0.4157 0.6571 0.0316
0.6571 0.0316 0.4157
0.6571 0.4157 0.0316
0.6956 0.0557 0.0557
0.9572 0.3119 0.9572
0.9572 0.9572 0.3119
0.3412 0.3412 0.6767
0.3412 0.6767 0.3412
0.3732 0.7057 0.7057
0.5258 0.5258 0.5258
0.6767 0.3412 0.3412
0.6859 0.6859 0.9047
0.6859 0.9047 0.6859
0.7057 0.3732 0.7057
0.7057 0.7057 0.3732
0.9047 0.6859 0.6859
```

* M_tot: 1.99 μB per formula unit
* DFT formation energy: -115.5 meV per atom
* E: -11.96 eV per atom

=====

# 2
Here is ZnCr2O4 at its PBEsol-relaxed geometry from Alexandria. Energies are from meta-GGA SCAN.

Cell and atoms, written as POSCAR:
```
ZnCr2O4
1.0
0.0000 4.1543 4.1543
4.1543 0.0000 4.1543
4.1543 4.1543 0.0000
Zn Cr O
2 4 8
Direct
0.1250 0.1250 0.1250
0.8750 0.8750 0.8750
0.0000 0.5000 0.5000
0.5000 0.0000 0.5000
0.5000 0.5000 0.0000
0.5000 0.5000 0.5000
0.2620 0.2620 0.2620
0.2620 0.2620 0.7139
0.2620 0.7139 0.2620
0.2861 0.7380 0.7380
0.7139 0.2620 0.2620
0.7380 0.2861 0.7380
0.7380 0.7380 0.2861
0.7380 0.7380 0.7380
```

* M_tot: 6.00 μB per formula unit
* ΔE_f (raw): -16.6 eV/f.u.
* E: -13.12 eV per atom

=====

# 3
Here is CsTl3Br at its PBEsol-relaxed geometry from Alexandria. Energies are from meta-GGA SCAN.

Cell and atoms, written as POSCAR:
```
CsTl3Br
1.0
6.0704 0.0000 0.0000
0.0000 6.0704 0.0000
0.0000 0.0000 6.0704
Cs Tl Br
1 3 1
Direct
0.0000 0.0000 0.0000
0.0000 0.5000 0.5000
0.5000 0.0000 0.5000
0.5000 0.5000 0.0000
0.5000 0.5000 0.5000
```

* M_tot: 0.00 μB per formula unit
* ΔE_f (raw): -0.8 eV/f.u.
* E: -55.03 eV per atom

=====

# 4
Here is Fe2NiIr at its PBEsol-relaxed geometry from Alexandria. Energies are from meta-GGA SCAN.

Cell and atoms, written as POSCAR:
```
Fe2NiIr
1.0
1.2951 0.7477 8.2014
-1.2951 0.7477 8.2014
0.0000 -1.4954 8.2014
Fe Ni Ir
2 1 1
Direct
0.2468 0.2468 0.2468
0.7532 0.7532 0.7532
0.5000 0.5000 0.5000
0.0000 0.0000 0.0000
```

* M_tot: 6.84 μB per formula unit
* DFT formation energy: -43.3 meV per atom
* E: -30.93 eV per atom

=====

# 5
Here is CsTa2SiSe at its PBEsol-relaxed geometry from Alexandria. Energies are from meta-GGA SCAN.

Cell and atoms, written as POSCAR:
```
CsTa2SiSe
1.0
4.8363 0.0000 0.0000
0.0000 4.8363 0.0000
0.0000 0.0000 5.3853
Cs Ta Si Se
1 2 1 1
Direct
0.0000 0.0000 0.0000
0.0000 0.5000 0.5000
0.5000 0.0000 0.5000
0.5000 0.5000 0.5000
0.5000 0.5000 0.0000
```

* M_tot: 2.80 μB per formula unit
* ΔE_f (raw): 6.4 eV/f.u.
* E: -38.93 eV per atom

=====

# 6
Here is TaCrAu2 at its PBEsol-relaxed geometry from Alexandria. Energies are from meta-GGA SCAN.

Cell and atoms, written as POSCAR:
```
TaCrAu2
1.0
4.7897 0.0000 0.0000
0.0000 4.7897 0.0000
0.0000 0.0000 2.9201
Ta Cr Au
1 1 2
Direct
0.0000 0.0000 0.0000
0.5000 0.5000 0.0000
0.0000 0.5000 0.5000
0.5000 0.0000 0.5000
```

* M_tot: 3.82 μB per formula unit
* DFT formation energy: -42.8 meV per atom
* E: -55.86 eV per atom
* distance to the lowest polymorph of the same formula: 0.015 eV/atom

=====

# 7
Here is Os2C at its PBEsol-relaxed geometry from Alexandria. Energies are from meta-GGA SCAN.

Cell and atoms, written as POSCAR:
```
Os2C
1.0
1.3850 -5.7700 0.0000
1.3850 5.7700 0.0000
0.0000 0.0000 4.2550
Os C
4 2
Direct
0.0680 0.9320 0.7500
0.3504 0.6496 0.7500
0.6496 0.3504 0.2500
0.9320 0.0680 0.2500
0.2959 0.7041 0.2500
0.7041 0.2959 0.7500
```

* M_tot: 0.00 μB per formula unit
* DFT formation energy: 840.7 meV per atom
* E: -50.45 eV per atom

=====

# 8
Here is YZn2 at its PBEsol-relaxed geometry from Alexandria. Energies are from meta-GGA SCAN.

Cell and atoms, written as POSCAR:
```
YZn2
1.0
-1.9996 2.8625 5.1318
1.9996 -2.8625 5.1318
1.9996 2.8625 -5.1318
Y Zn
2 4
Direct
0.1766 0.1766 0.0000
0.8234 0.8234 0.0000
0.2612 0.5000 0.7612
0.3828 0.8828 0.5000
0.6172 0.1172 0.5000
0.7388 0.5000 0.2388
```

* M_tot: 0.00 μB per formula unit
* DFT formation energy: -388.4 meV per atom
* E: -18.68 eV per atom

=====

# 9
Here is ZnAg2Rh at its PBEsol-relaxed geometry from Alexandria. Energies are from meta-GGA SCAN.

Cell and atoms, written as POSCAR:
```
ZnAg2Rh
1.0
-1.5210 2.2453 4.3728
1.5210 -2.2453 4.3728
1.5210 2.2453 -4.3728
Zn Ag Rh
1 2 1
Direct
0.0000 0.0000 0.0000
0.2415 0.7415 0.5000
0.5065 0.5065 0.0000
0.7718 0.2718 0.5000
```

* M_tot: 0.00 μB per formula unit
* DFT formation energy: 39.6 meV per atom
* E: -27.47 eV per atom

=====

# 10
Here is Sc5C at its PBEsol-relaxed geometry from Alexandria. Energies are from meta-GGA SCAN.

Cell and atoms, written as POSCAR:
```
Sc5C
1.0
4.0790 0.0000 0.0000
0.0000 1.8897 7.9333
0.0000 -1.8897 7.9333
Sc C
5 1
Direct
0.0000 0.0000 0.0000
0.0000 0.3087 0.3087
0.0000 0.6448 0.6448
0.5000 0.1531 0.1531
0.5000 0.8394 0.8394
0.5000 0.5737 0.5737
```

* M_tot: 0.00 μB per formula unit
* DFT formation energy: 340.7 meV per atom
* E: -13.21 eV per atom
* distance to the lowest polymorph of the same formula: 0.432 eV/atom

=====

# 11
Here is Na3ZnPCO7 at its PBEsol-relaxed geometry from Alexandria. Energies are from meta-GGA SCAN.

Cell and atoms, written as POSCAR:
```
Na3ZnPCO7
1.0
5.2378 0.0000 0.0000
0.0000 6.5101 0.0000
-0.1059 0.0000 8.9006
Na Zn P C O
6 2 2 2 14
Direct
0.0000 0.0000 0.0000
0.0000 0.5000 0.0000
0.0625 0.2500 0.3347
0.5000 0.0000 0.5000
0.5000 0.5000 0.5000
0.9375 0.7500 0.6653
0.4744 0.7500 0.2017
0.5256 0.2500 0.7983
0.4833 0.7500 0.8461
0.5167 0.2500 0.1539
0.0016 0.7500 0.3432
0.9984 0.2500 0.6568
0.0725 0.7500 0.2053
0.1681 0.7500 0.4518
0.1938 0.7500 0.8650
0.2421 0.2500 0.6240
0.3748 0.2500 0.9990
0.4249 0.0610 0.2468
0.4249 0.4390 0.2468
0.5751 0.5610 0.7532
0.5751 0.9390 0.7532
0.6252 0.7500 0.0010
0.7579 0.7500 0.3760
0.8062 0.2500 0.1350
0.8319 0.2500 0.5482
0.9275 0.2500 0.7947
```

* M_tot: 0.00 μB per formula unit
* ΔE_f (raw): -27.5 eV/f.u.
* E: -9.06 eV per atom
* distance to the lowest polymorph of the same formula: 0.011 eV/atom

=====

# 12
Here is Ca2AgMo at its PBEsol-relaxed geometry from Alexandria. Energies are from meta-GGA SCAN.

Cell and atoms, written as POSCAR:
```
Ca2AgMo
1.0
3.0954 0.0000 0.0000
0.0000 4.1099 0.0000
0.0000 0.0000 6.9176
Ca Ag Mo
2 1 1
Direct
0.0000 0.0000 0.2468
0.0000 0.0000 0.7532
0.5000 0.5000 0.5000
0.5000 0.5000 0.0000
```

* M_tot: 0.00 μB per formula unit
* DFT formation energy: 606.0 meV per atom
* E: -20.79 eV per atom
* distance to the lowest polymorph of the same formula: 0.000 eV/atom